Record 1
A plane-wave DFT calculation with GGA-PBE was carried out for CaAc4Tm after structural relaxation.

CIF file:
```
data_CaAc4Tm
_chemical_formula_sum 'Ca1 Ac4 Tm1'
_cell_length_a 3.9606
_cell_length_b 3.9606
_cell_length_c 16.0309
_cell_angle_alpha 90.00
_cell_angle_beta 90.00
_cell_angle_gamma 90.00
_symmetry_space_group_name_H-M 'P 4/m m m'
_symmetry_Int_Tables_number 123
_symmetry_space_group_name_Hall '-P 4 2'
loop_
_atom_site_label
_atom_site_type_symbol
_atom_site_fract_x
_atom_site_fract_y
_atom_site_fract_z
Ca1 Ca 0.0000 0.0000 0.0000
Ac1 Ac 0.0000 0.0000 0.3480
Ac2 Ac 0.5000 0.5000 0.1784
Tm1 Tm 0.5000 0.5000 0.5000
```

Summary:
The calculated formation energy comes out at 0.251 eV/f.u. The spin magnetization is 0.00 μB/f.u. As for the excess energy over the best structure of this formula in the dataset: 0.000 eV per atom.


Record 2
A plane-wave DFT calculation with GGA-PBE was carried out for CaAcTm4 after structural relaxation.

CIF file:
```
data_CaAcTm4
_chemical_formula_sum 'Ca4 Ac4 Tm16'
_cell_length_a 9.5051
_cell_length_b 9.5051
_cell_length_c 9.5051
_cell_angle_alpha 90.00
_cell_angle_beta 90.00
_cell_angle_gamma 90.00
_symmetry_space_group_name_H-M 'F -4 3 m'
_symmetry_Int_Tables_number 216
_symmetry_space_group_name_Hall 'F -4 2 3'
loop_
_atom_site_label
_atom_site_type_symbol
_atom_site_fract_x
_atom_site_fract_y
_atom_site_fract_z
Ca1 Ca 0.0000 0.0000 0.0000
Ac1 Ac 0.2500 0.2500 0.2500
Tm1 Tm 0.1247 0.1247 0.6247
```

Summary:
The calculated formation energy comes out at 1.275 eV/f.u. The spin magnetization is 0.00 μB/f.u.


Record 3
A plane-wave DFT calculation with GGA-PBE was carried out for Ca2Ac9Y after structural relaxation.

CIF file:
```
data_Ca2Ac9Y
_chemical_formula_sum 'Ca2 Ac9 Y1'
_cell_length_a 5.5636
_cell_length_b 5.5636
_cell_length_c 16.6966
_cell_angle_alpha 90.00
_cell_angle_beta 90.00
_cell_angle_gamma 90.00
_symmetry_space_group_name_H-M 'P 4/m m m'
_symmetry_Int_Tables_number 123
_symmetry_space_group_name_Hall '-P 4 2'
loop_
_atom_site_label
_atom_site_type_symbol
_atom_site_fract_x
_atom_site_fract_y
_atom_site_fract_z
Ca1 Ca 0.0000 0.0000 0.1683
Ac1 Ac 0.0000 0.5000 0.0000
Ac2 Ac 0.0000 0.5000 0.3383
Ac3 Ac 0.5000 0.5000 0.1681
Ac4 Ac 0.5000 0.5000 0.5000
Y1 Y 0.0000 0.0000 0.5000
```

Summary:
The calculated formation energy comes out at 0.288 eV/f.u. The spin magnetization is 0.00 μB/f.u.


Record 4
A plane-wave DFT calculation with GGA-PBE was carried out for Ca2AcY after structural relaxation.

CIF file:
```
data_Ca2AcY
_chemical_formula_sum 'Ca2 Ac1 Y1'
_cell_length_a 5.2483
_cell_length_b 5.2483
_cell_length_c 5.7485
_cell_angle_alpha 90.00
_cell_angle_beta 90.00
_cell_angle_gamma 90.00
_symmetry_space_group_name_H-M 'P 4/m m m'
_symmetry_Int_Tables_number 123
_symmetry_space_group_name_Hall '-P 4 2'
loop_
_atom_site_label
_atom_site_type_symbol
_atom_site_fract_x
_atom_site_fract_y
_atom_site_fract_z
Ca1 Ca 0.0000 0.5000 0.0000
Ac1 Ac 0.0000 0.0000 0.5000
Y1 Y 0.5000 0.5000 0.5000
```

Summary:
The calculated formation energy comes out at 0.547 eV/f.u. The spin magnetization is 0.00 μB/f.u. As for the excess energy over the best structure of this formula in the dataset: 0.049 eV per atom.


Values of volume, in order: 41.91 35.78 43.07 39.59, all in A^3/atom.